The following is a DFT calculation (PBE-GGA) of a relaxed LiYHgO2 crystal.

Summary:
- magnetization (μB per formula unit) = 0.1
- space-group type = P4/mmm
- formation energy without anion corrections (eV/atom) = -0.3659

The structure in POSCAR format:
```
LiYHgO2
1.0
4.090 0.000 0.000
0.000 4.090 0.000
0.000 0.000 4.415
Li Y Hg O
1 1 1 2
direct
0.000 0.000 0.000
0.000 0.000 0.500
0.500 0.500 0.500
0.000 0.500 0.000
0.500 0.000 0.000
```